VASP calculation (PBE) on a relaxed LiAc2In7 crystal. Values from VASP.

Summary:
Electronic total energy ... -32.54 eV per formula unit
Size of the total moment ... 0.00 μB/f.u.
ΔE_f ... -0.3242 eV per atom

```
&SYSTEM
  ibrav = 0, nat = 10, ntyp = 3
/
ATOMIC_SPECIES
Li 6.94 Li.upf
Ac 227.00 Ac.upf
In 114.82 In.upf
CELL_PARAMETERS angstrom
4.766 0.000 0.000
0.000 4.766 0.000
0.000 0.000 12.485
ATOMIC_POSITIONS angstrom
Li 0.000 0.000 0.000
Ac 0.000 2.383 9.388
Ac 2.383 0.000 3.097
In 0.000 0.000 6.243
In 0.000 2.383 1.628
In 0.000 2.383 4.448
In 2.383 0.000 8.037
In 2.383 0.000 10.857
In 2.383 2.383 0.000
In 2.383 2.383 6.243
```